PBE Y2GaSb, relaxed; spin magnetization = 0.000 μB/cell; crystal system = tetragonal; SG = I-42d (122); formation energy without anion corrections = -0.52 eV per atom
1.0
-4.6080 6.5357 -0.3203
-4.1972 -3.2527 -5.9879
-6.5629 0.2302 -0.8732
Y Ga Sb
4 2 2
Direct
0.8750 0.8632 0.7500
0.6132 0.1250 0.2500
0.1368 0.6250 0.2500
0.3750 0.3868 0.7500
0.5000 0.5000 0.0000
0.2500 0.7500 0.5000
0.7500 0.2500 0.5000
0.0000 0.0000 0.0000

PBE YGaSb3, relaxed; spin magnetization = 0.000 μB/cell; crystal system = cubic; SG = Pm-3m (221); formation energy without anion corrections = 0.32 eV per atom
1.0
5.7874 0.0000 0.0000
0.0000 5.7874 0.0000
0.0000 0.0000 5.7874
Y Sb Ga
1 3 1
Direct
0.0000 0.0000 0.0000
0.0000 0.0000 0.5000
0.5000 0.0000 0.0000
0.0000 0.5000 0.0000
0.5000 0.5000 0.5000

PBE YGa2Sb2, relaxed; spin magnetization = 0.000 μB/cell; crystal system = tetragonal; SG = P4/mbm (127); formation energy without anion corrections = -0.27 eV per atom
1.0
7.7304 0.0000 0.0000
0.0000 7.7304 0.0000
0.0000 0.0000 3.9743
Ga Sb Y
4 4 2
Direct
0.1229 0.3771 0.0000
0.3771 0.8771 0.0000
0.8771 0.6229 0.0000
0.6229 0.1229 0.0000
0.8245 0.3245 0.5000
0.6755 0.8245 0.5000
0.1755 0.6755 0.5000
0.3245 0.1755 0.5000
0.5000 0.5000 0.0000
0.0000 0.0000 0.0000

PBE Zn2Ga2Sb, relaxed; spin magnetization = 0.000 μB/cell; crystal system = tetragonal; SG = I4/mmm (139); formation energy without anion corrections = 0.09 eV per atom
1.0
-4.0344 -0.3093 0.0622
0.1445 -1.1021 3.8910
-2.3602 5.0420 3.6200
Sb Ga Zn
1 2 2
Direct
0.0000 0.0000 0.0000
0.7500 0.2500 0.5000
0.2500 0.7500 0.5000
0.6026 0.6026 0.7947
0.3974 0.3974 0.2053

Number 1: electronic total energy -5.54 eV per atom, calculated volume 27.57 Å³ per atom. Number 2: electronic total energy -4.06 eV per atom, calculated volume 38.77 Å³ per atom. Number 3: electronic total energy -4.42 eV per atom, calculated volume 23.75 Å³ per atom. Number 4: electronic total energy -2.45 eV per atom, calculated volume 19.63 Å³ per atom.